1.
Compound: W2AuBr
Source: Alexandria
Functional: PBE
Structure: optimized geometry

Output
- M_tot: 0.000 μB/cell
- Total energy: -82.202 eV for the cell shown
- E above lowest polymorph: 313.2 meV/atom
- Mass density: 15.59 g cm⁻³

The structure in CIF format:
```
data_W2AuBr
_chemical_formula_sum 'W6 Au3 Br3'
_cell_length_a 2.9726
_cell_length_b 2.9726
_cell_length_c 26.9105
_cell_angle_alpha 90.00
_cell_angle_beta 90.00
_cell_angle_gamma 120.00
_symmetry_space_group_name_H-M 'R -3 m'
_symmetry_Int_Tables_number 166
_symmetry_space_group_name_Hall '-R 3 2"'
loop_
_atom_site_label
_atom_site_fract_x
_atom_site_fract_y
_atom_site_fract_z
W1 0.0000 0.0000 0.2485
Au1 0.0000 0.0000 0.0000
Br1 0.0000 0.0000 0.5000
```

***

2.
Compound: TiHRuPt2
Source: Alexandria
Functional: PBE
Structure: optimized geometry

Output
- M_tot: 0.000 μB/cell
- Total energy: -34.894 eV for the cell shown
- Mass density: 14.35 g cm⁻³

The structure in CIF format:
```
data_TiHRuPt2
_chemical_formula_sum 'Ti1 H1 Ru1 Pt2'
_cell_length_a 3.937
_cell_length_b 3.937
_cell_length_c 4.033
_cell_angle_alpha 90.00
_cell_angle_beta 90.00
_cell_angle_gamma 90.00
_symmetry_space_group_name_H-M 'P 4/m m m'
_symmetry_Int_Tables_number 123
_symmetry_space_group_name_Hall '-P 4 2'
loop_
_atom_site_label
_atom_site_fract_x
_atom_site_fract_y
_atom_site_fract_z
Ti1 0.000 0.000 0.000
H1 0.500 0.500 0.500
Ru1 0.500 0.500 0.000
Pt1 0.000 0.500 0.500
```

***

3.
Compound: Mn2PPt
Source: Alexandria
Functional: PBE
Structure: optimized geometry

Output
- M_tot: 7.127 μB/cell
- Total energy: -30.001 eV for the cell shown
- Mass density: 9.69 g cm⁻³

The structure in CIF format:
```
data_Mn2PPt
_chemical_formula_sum 'Mn2 P1 Pt1'
_cell_length_a 4.570
_cell_length_b 4.570
_cell_length_c 2.755
_cell_angle_alpha 90.00
_cell_angle_beta 90.00
_cell_angle_gamma 90.00
_symmetry_space_group_name_H-M 'P 4/m m m'
_symmetry_Int_Tables_number 123
_symmetry_space_group_name_Hall '-P 4 2'
loop_
_atom_site_label
_atom_site_fract_x
_atom_site_fract_y
_atom_site_fract_z
Mn1 0.000 0.500 0.000
P1 0.000 0.000 0.500
Pt1 0.500 0.500 0.500
```

***

4.
Compound: PSe2Br
Source: Alexandria
Functional: PBE
Structure: optimized geometry

Output
- M_tot: 0.000 μB/cell
- Total energy: -52.974 eV for the cell shown
- E above lowest polymorph: 221.1 meV/atom
- Mass density: 4.37 g cm⁻³

The structure in CIF format:
```
data_PSe2Br
_chemical_formula_sum 'P4 Se8 Br4'
_cell_length_a 7.134
_cell_length_b 7.134
_cell_length_c 8.023
_cell_angle_alpha 90.00
_cell_angle_beta 90.00
_cell_angle_gamma 90.00
_symmetry_space_group_name_H-M 'I -4 2 d'
_symmetry_Int_Tables_number 122
_symmetry_space_group_name_Hall 'I -4 2bw'
loop_
_atom_site_label
_atom_site_fract_x
_atom_site_fract_y
_atom_site_fract_z
P1 0.000 0.000 0.000
Se1 0.173 0.250 0.125
Br1 0.000 0.000 0.500
```

***

5.
Compound: InHgSb2I
Source: Alexandria
Functional: PBE
Structure: optimized geometry

Output
- M_tot: 1.726 μB/cell
- Total energy: -10.388 eV for the cell shown
- E above lowest polymorph: 12.8 meV/atom
- Mass density: 5.65 g cm⁻³

The structure in CIF format:
```
data_InHgSb2I
_chemical_formula_sum 'In1 Hg1 Sb2 I1'
_cell_length_a 5.757
_cell_length_b 5.757
_cell_length_c 6.079
_cell_angle_alpha 90.00
_cell_angle_beta 90.00
_cell_angle_gamma 90.00
_symmetry_space_group_name_H-M 'P 4/m m m'
_symmetry_Int_Tables_number 123
_symmetry_space_group_name_Hall '-P 4 2'
loop_
_atom_site_label
_atom_site_fract_x
_atom_site_fract_y
_atom_site_fract_z
In1 0.000 0.000 0.000
Hg1 0.500 0.500 0.500
Sb1 0.000 0.500 0.000
I1 0.000 0.000 0.500
```

***

6.
Compound: Ga8Ir2Rh
Source: Alexandria
Functional: PBE
Structure: optimized geometry

Output
- M_tot: 0.000 μB/cell
- Total energy: -103.887 eV for the cell shown
- E above lowest polymorph: 87.0 meV/atom
- Mass density: 8.61 g cm⁻³

The structure in CIF format:
```
data_Ga8Ir2Rh
_chemical_formula_sum 'Ga16 Ir4 Rh2'
_cell_length_a 12.107
_cell_length_b 7.295
_cell_length_c 4.875
_cell_angle_alpha 90.00
_cell_angle_beta 110.59
_cell_angle_gamma 90.00
_symmetry_space_group_name_H-M 'C 1 2/m 1'
_symmetry_Int_Tables_number 12
loop_
_symmetry_equiv_pos_as_xyz
'x,y,z'
'-x,-y,-z'
'-x,y,-z'
'x,-y,z'
'x+1/2,y+1/2,z'
'-x+1/2,-y+1/2,-z'
'-x+1/2,y+1/2,-z'
'x+1/2,-y+1/2,z'
loop_
_atom_site_label
_atom_site_fract_x
_atom_site_fract_y
_atom_site_fract_z
Ga1 0.091 0.000 0.266
Ga2 0.100 0.224 0.804
Ga3 0.176 0.500 0.345
Ir1 0.236 0.500 0.909
Rh1 0.000 0.500 0.500
```